Below is ZnAu2 at its PBEsol-relaxed geometry, with properties calculated at the SCAN level.

spin magnetization	0.000	μB/f.u.
space-group type	Cm, No. 8
mass density	15.9	g/cm³
total DFT energy (no corrections)	-50.76	eV per atom
V	96.14	Å³ per cell

Structure (CIF):
```
data_ZnAu2
_chemical_formula_sum 'Zn2 Au4'
_space_group_name_H-M_alt 'P 1'
_space_group_IT_number 1
_space_group_name_Hall 'P 1'
_cell_length_a 2.909
_cell_length_b 5.370
_cell_length_c 6.570
_cell_angle_alpha 102.86
_cell_angle_beta 90.00
_cell_angle_gamma 105.72
loop_
_atom_site_label
_atom_site_type_symbol
_atom_site_fract_x
_atom_site_fract_y
_atom_site_fract_z
Au1 Au 0.324 0.649 0.684
Au2 Au 0.664 0.327 0.345
Au3 Au 0.387 0.774 0.270
Au4 Au 0.018 0.036 0.983
Zn1 Zn 0.043 0.086 0.594
Zn2 Zn 0.730 0.460 0.957
```

=====

Below is ZnAu2 at its PBEsol-relaxed geometry, with properties calculated at the SCAN level.

spin magnetization	0.000	μB/f.u.
space-group type	C2/m, No. 12
mass density	15.8	g/cm³
total DFT energy (no corrections)	-50.78	eV per atom
V	96.55	Å³ per cell

Structure (CIF):
```
data_ZnAu2
_chemical_formula_sum 'Zn2 Au4'
_space_group_name_H-M_alt 'P 1'
_space_group_IT_number 1
_space_group_name_Hall 'P 1'
_cell_length_a 2.932
_cell_length_b 5.338
_cell_length_c 6.889
_cell_angle_alpha 110.50
_cell_angle_beta 90.00
_cell_angle_gamma 105.94
loop_
_atom_site_label
_atom_site_type_symbol
_atom_site_fract_x
_atom_site_fract_y
_atom_site_fract_z
Zn1 Zn 0.179 0.358 0.156
Zn2 Zn 0.821 0.642 0.844
Au1 Au 0.548 0.095 0.824
Au2 Au 0.857 0.713 0.461
Au3 Au 0.452 0.905 0.176
Au4 Au 0.143 0.287 0.539
```

=====

Below is Zn2Au3 at its PBEsol-relaxed geometry, with properties calculated at the SCAN level.

spin magnetization	0.000	μB/f.u.
space-group type	P-3m1, No. 164
mass density	14.2	g/cm³
V	84.46	Å³ per cell
ΔE to the lowest computed polymorph	48	meV/atom

Structure (CIF):
```
data_Zn2Au3
_chemical_formula_sum 'Zn2 Au3'
_space_group_name_H-M_alt 'P 1'
_space_group_IT_number 1
_space_group_name_Hall 'P 1'
_cell_length_a 4.300
_cell_length_b 4.300
_cell_length_c 5.275
_cell_angle_alpha 90.00
_cell_angle_beta 90.00
_cell_angle_gamma 120.00
loop_
_atom_site_label
_atom_site_type_symbol
_atom_site_fract_x
_atom_site_fract_y
_atom_site_fract_z
Au1 Au 0.667 0.333 0.658
Au2 Au 0.000 0.000 0.000
Au3 Au 0.333 0.667 0.342
Zn1 Zn 0.667 0.333 0.170
Zn2 Zn 0.333 0.667 0.830
```

=====

Below is Zn5Au3 at its PBEsol-relaxed geometry, with properties calculated at the SCAN level.

spin magnetization	0.000	μB/f.u.
space-group type	P6_3/mcm, No. 193
mass density	12.1	g/cm³
V	251.05	Å³ per cell
ΔE to the lowest computed polymorph	17	meV/atom

Structure (CIF):
```
data_Zn5Au3
_chemical_formula_sum 'Zn10 Au6'
_space_group_name_H-M_alt 'P 1'
_space_group_IT_number 1
_space_group_name_Hall 'P 1'
_cell_length_a 5.065
_cell_length_b 7.565
_cell_length_c 7.565
_cell_angle_alpha 120.00
_cell_angle_beta 90.00
_cell_angle_gamma 90.00
loop_
_atom_site_label
_atom_site_type_symbol
_atom_site_fract_x
_atom_site_fract_y
_atom_site_fract_z
Zn1 Zn 0.750 0.771 0.771
Zn2 Zn 0.000 0.333 0.667
Zn3 Zn 0.750 0.229 0.000
Zn4 Zn 0.500 0.333 0.667
Zn5 Zn 0.000 0.667 0.333
Zn6 Zn 0.250 0.000 0.771
Zn7 Zn 0.750 0.000 0.229
Zn8 Zn 0.500 0.667 0.333
Zn9 Zn 0.250 0.771 0.000
Zn10 Zn 0.250 0.229 0.229
Au1 Au 0.250 0.609 0.609
Au2 Au 0.250 0.391 0.000
Au3 Au 0.750 0.609 0.000
Au4 Au 0.250 0.000 0.391
Au5 Au 0.750 0.000 0.609
Au6 Au 0.750 0.391 0.391
```

=====

Below is Zn7Au6 at its PBEsol-relaxed geometry, with properties calculated at the SCAN level.

spin magnetization	0.000	μB/f.u.
space-group type	R-3m, No. 166
mass density	13.8	g/cm³
total DFT energy (no corrections)	-39.35	eV per atom
V	196.70	Å³ per cell

Structure (CIF):
```
data_Zn7Au6
_chemical_formula_sum 'Zn7 Au6'
_space_group_name_H-M_alt 'P 1'
_space_group_IT_number 1
_space_group_name_Hall 'P 1'
_cell_length_a 5.074
_cell_length_b 5.074
_cell_length_c 9.296
_cell_angle_alpha 74.16
_cell_angle_beta 74.16
_cell_angle_gamma 60.00
loop_
_atom_site_label
_atom_site_type_symbol
_atom_site_fract_x
_atom_site_fract_y
_atom_site_fract_z
Au1 Au 0.841 0.841 0.478
Au2 Au 0.949 0.949 0.154
Au3 Au 0.668 0.668 0.997
Au4 Au 0.159 0.159 0.522
Au5 Au 0.051 0.051 0.846
Au6 Au 0.332 0.332 0.003
Zn1 Zn 0.412 0.412 0.262
Zn2 Zn 0.412 0.913 0.262
Zn3 Zn 0.500 0.500 0.500
Zn4 Zn 0.087 0.588 0.738
Zn5 Zn 0.588 0.087 0.738
Zn6 Zn 0.913 0.412 0.262
Zn7 Zn 0.588 0.588 0.738
```

=====

Below is ZnAu at its PBEsol-relaxed geometry, with properties calculated at the SCAN level.

spin magnetization	0.000	μB/f.u.
space-group type	P4/nmm, No. 129
mass density	13.9	g/cm³
total DFT energy (no corrections)	-41.56	eV per atom
V	62.54	Å³ per cell

Structure (CIF):
```
data_ZnAu
_chemical_formula_sum 'Zn2 Au2'
_space_group_name_H-M_alt 'P 1'
_space_group_IT_number 1
_space_group_name_Hall 'P 1'
_cell_length_a 3.366
_cell_length_b 3.366
_cell_length_c 5.521
_cell_angle_alpha 90.00
_cell_angle_beta 90.00
_cell_angle_gamma 90.00
loop_
_atom_site_label
_atom_site_type_symbol
_atom_site_fract_x
_atom_site_fract_y
_atom_site_fract_z
Zn1 Zn 0.500 0.000 0.365
Zn2 Zn 0.000 0.500 0.635
Au1 Au 0.500 0.000 0.845
Au2 Au 0.000 0.500 0.155
```

=====

Below is Zn5Au at its PBEsol-relaxed geometry, with properties calculated at the SCAN level.

spin magnetization	0.000	μB/f.u.
space-group type	Cm, No. 8
mass density	10.1	g/cm³
total DFT energy (no corrections)	-22.89	eV per atom
V	86.53	Å³ per cell

Structure (CIF):
```
data_Zn5Au
_chemical_formula_sum 'Zn5 Au1'
_space_group_name_H-M_alt 'P 1'
_space_group_IT_number 1
_space_group_name_Hall 'P 1'
_cell_length_a 2.825
_cell_length_b 5.106
_cell_length_c 6.410
_cell_angle_alpha 102.62
_cell_angle_beta 90.00
_cell_angle_gamma 106.06
loop_
_atom_site_label
_atom_site_type_symbol
_atom_site_fract_x
_atom_site_fract_y
_atom_site_fract_z
Zn1 Zn 0.721 0.442 0.943
Zn2 Zn 0.390 0.780 0.285
Zn3 Zn 0.332 0.663 0.665
Zn4 Zn 0.056 0.112 0.606
Zn5 Zn 0.670 0.340 0.336
Au1 Au 0.998 0.996 0.998
```

=====

Below is ZnAu at its PBEsol-relaxed geometry, with properties calculated at the SCAN level.

spin magnetization	0.000	μB/f.u.
space-group type	P-6m2, No. 187
mass density	13.9	g/cm³
total DFT energy (no corrections)	-41.52	eV per atom
V	31.30	Å³ per cell

Structure (CIF):
```
data_ZnAu
_chemical_formula_sum 'Zn1 Au1'
_space_group_name_H-M_alt 'P 1'
_space_group_IT_number 1
_space_group_name_Hall 'P 1'
_cell_length_a 2.959
_cell_length_b 2.959
_cell_length_c 4.129
_cell_angle_alpha 90.00
_cell_angle_beta 90.00
_cell_angle_gamma 120.00
loop_
_atom_site_label
_atom_site_type_symbol
_atom_site_fract_x
_atom_site_fract_y
_atom_site_fract_z
Zn1 Zn 0.667 0.333 0.500
Au1 Au 0.000 0.000 0.000
```

=====

Below is Zn22Au at its PBEsol-relaxed geometry, with properties calculated at the SCAN level.

spin magnetization	0.000	μB/f.u.
space-group type	Fd-3m, No. 227
mass density	8.1	g/cm³
total DFT energy (no corrections)	-15.86	eV per atom
V	669.02	Å³ per cell

Structure (CIF):
```
data_Zn22Au
_chemical_formula_sum 'Zn44 Au2'
_space_group_name_H-M_alt 'P 1'
_space_group_IT_number 1
_space_group_name_Hall 'P 1'
_cell_length_a 9.817
_cell_length_b 9.817
_cell_length_c 9.817
_cell_angle_alpha 60.00
_cell_angle_beta 60.00
_cell_angle_gamma 60.00
loop_
_atom_site_label
_atom_site_type_symbol
_atom_site_fract_x
_atom_site_fract_y
_atom_site_fract_z
Zn1 Zn 0.805 0.067 0.805
Zn2 Zn 0.358 0.642 0.642
Zn3 Zn 0.125 0.125 0.625
Zn4 Zn 0.067 0.805 0.805
Zn5 Zn 0.625 0.625 0.625
Zn6 Zn 0.608 0.608 0.892
Zn7 Zn 0.892 0.892 0.608
Zn8 Zn 0.445 0.928 0.445
Zn9 Zn 0.183 0.445 0.445
Zn10 Zn 0.608 0.892 0.892
Zn11 Zn 0.183 0.928 0.445
Zn12 Zn 0.928 0.445 0.445
Zn13 Zn 0.608 0.892 0.608
Zn14 Zn 0.067 0.322 0.805
Zn15 Zn 0.805 0.805 0.322
Zn16 Zn 0.358 0.642 0.358
Zn17 Zn 0.125 0.625 0.125
Zn18 Zn 0.625 0.625 0.125
Zn19 Zn 0.642 0.358 0.642
Zn20 Zn 0.067 0.805 0.322
Zn21 Zn 0.125 0.125 0.125
Zn22 Zn 0.625 0.125 0.625
Zn23 Zn 0.892 0.608 0.608
Zn24 Zn 0.805 0.805 0.067
Zn25 Zn 0.642 0.642 0.358
Zn26 Zn 0.322 0.805 0.805
Zn27 Zn 0.125 0.625 0.625
Zn28 Zn 0.445 0.183 0.928
Zn29 Zn 0.358 0.358 0.642
Zn30 Zn 0.805 0.067 0.322
Zn31 Zn 0.805 0.322 0.067
Zn32 Zn 0.892 0.608 0.892
Zn33 Zn 0.928 0.183 0.445
Zn34 Zn 0.445 0.445 0.928
Zn35 Zn 0.928 0.445 0.183
Zn36 Zn 0.445 0.928 0.183
Zn37 Zn 0.625 0.125 0.125
Zn38 Zn 0.805 0.322 0.805
Zn39 Zn 0.322 0.805 0.067
Zn40 Zn 0.642 0.358 0.358
Zn41 Zn 0.445 0.445 0.183
Zn42 Zn 0.183 0.445 0.928
Zn43 Zn 0.322 0.067 0.805
Zn44 Zn 0.445 0.183 0.445
Au1 Au 0.250 0.250 0.250
Au2 Au 0.000 0.000 0.000
```

=====

Below is ZnAu at its PBEsol-relaxed geometry, with properties calculated at the SCAN level.

spin magnetization	0.000	μB/f.u.
space-group type	P6_3/mmc, No. 194
mass density	12.1	g/cm³
total DFT energy (no corrections)	-41.57	eV per atom
V	71.94	Å³ per cell

Structure (CIF):
```
data_ZnAu
_chemical_formula_sum 'Zn2 Au2'
_space_group_name_H-M_alt 'P 1'
_space_group_IT_number 1
_space_group_name_Hall 'P 1'
_cell_length_a 3.934
_cell_length_b 3.934
_cell_length_c 5.366
_cell_angle_alpha 90.00
_cell_angle_beta 90.00
_cell_angle_gamma 120.00
loop_
_atom_site_label
_atom_site_type_symbol
_atom_site_fract_x
_atom_site_fract_y
_atom_site_fract_z
Au1 Au 0.000 0.000 0.000
Au2 Au 0.000 0.000 0.500
Zn1 Zn 0.667 0.333 0.750
Zn2 Zn 0.333 0.667 0.250
```

=====

Number 1: D(E_F) 1.593 states/eV per cell. Number 2: D(E_F) 1.773 states/eV per cell. Number 3: D(E_F) 1.564 states/eV per cell. Number 4: D(E_F) 3.140 states/eV per cell. Number 5: D(E_F) 2.419 states/eV per cell. Number 6: D(E_F) 1.250 states/eV per cell. Number 7: D(E_F) 1.004 states/eV per cell. Number 8: D(E_F) 0.653 states/eV per cell. Number 9: D(E_F) 12.736 states/eV per cell. Number 10: D(E_F) 1.020 states/eV per cell.